The following is a PBE calculation of a relaxed NdSmCuHg crystal, from Alexandria via LeMat-Bulk.

density of states at the Fermi level	3.155	states/eV/f.u.
symmetry	F-43m (216)
DFT formation energy	-1.1	eV/f.u.
excess energy over the best structure of this formula in the dataset	21.8	meV/atom
ρ	9.071	g cm⁻³

a = 5.249 Å, b = 5.249 Å, c = 5.249 Å
α = 60.00°, β = 60.00°, γ = 60.00°
Sites, in units of the cell vectors:
Cu (0.250, 0.250, 0.250)
Nd (0.000, 0.000, 0.000)
Hg (0.750, 0.750, 0.750)
Sm (0.500, 0.500, 0.500)